This record from Alexandria via LeMat-Bulk describes an optimized crystal structure of NaY2Fe2. The functional is PBE.

```
data_NaY2Fe2
_symmetry_space_group_name_H-M 'P 4/m b m'
_symmetry_Int_Tables_number 127
_symmetry_space_group_name_Hall '-P 4 2ab'
_cell_length_a 7.731
_cell_length_b 7.731
_cell_length_c 3.783
_cell_angle_alpha 90.00
_cell_angle_beta 90.00
_cell_angle_gamma 90.00
loop_
_atom_site_label
_atom_site_type_symbol
_atom_site_fract_x
_atom_site_fract_y
_atom_site_fract_z
Na1 Na 0.000 0.000 0.000
Y1 Y 0.173 0.327 0.500
Fe1 Fe 0.104 0.604 0.000
```

- DOS(E_F): 1.155 states/eV per atom
- Relative energy among the computed polymorphs: 0 meV/atom
- Final energy: -0.2204 Ha/atom
- Density: 4.59 g/cm³
- ΔH_f (0 K): 236.3 meV per atom